VASP calculation (GGA+U) on DyNiAs2O8 after structural relaxation.

a = 6.9918 Å, b = 6.9918 Å, c = 6.3391 Å
α = 90.00°, β = 90.00°, γ = 90.00°
Last column: nearest neighbours and their distance in Å.
Space group I-4m2 (No. 119)
Unique sites:
Dy (0.0000, 0.0000, 0.0000)  8 O 2.26-2.42
Ni (0.0000, 0.5000, 0.7500)  8 O 2.23-2.42
As (0.0000, 0.0000, 0.5000)  4 O 1.73
As (0.0000, 0.5000, 0.2500)  4 O 1.71
O (0.0000, 0.1877, 0.6784)  1 As 1.73
O (0.0000, 0.3163, 0.0727)  1 As 1.71

Results
Total DFT energy (no corrections), eV per atom: -6.204